Model a:
Entry from OQMD: a relaxed structure of RbTaBePd (PBE).

Structure (POSCAR):
```
RbTaBePd
1.0
-3.684 -2.836 -0.457
-3.416 1.074 -2.999
-0.551 -2.502 -3.906
Ta Be Pd Rb
1 1 1 1
direct
0.000 0.000 0.000
0.750 0.750 0.750
0.500 0.500 0.500
0.250 0.250 0.250
```

=====

Model b:
Entry from OQMD: a relaxed structure of RbTaBePd (PBE).

Structure (POSCAR):
```
RbTaBePd
1.0
0.000 3.292 3.292
3.292 0.000 3.292
3.292 3.292 0.000
Ta Be Rb Pd
1 1 1 1
direct
0.250 0.250 0.250
0.750 0.750 0.750
0.500 0.500 0.500
0.000 0.000 0.000
```

=====

What should be chosen as the least stable of them? Choose model a.

=====

Model a:
Entry from OQMD: a relaxed structure of PrPAuO (PBE).

Structure (POSCAR):
```
PrPAuO
1.0
3.906 0.000 0.000
0.000 7.578 0.000
0.000 0.000 6.097
Pr Au O P
2 2 2 2
direct
0.000 0.731 0.438
0.000 0.269 0.938
0.500 0.171 0.439
0.500 0.829 0.939
0.500 0.129 0.940
0.500 0.871 0.440
0.000 0.345 0.437
0.000 0.655 0.937
```

=====

Model b:
Entry from OQMD: a relaxed structure of PrPAuO (PBE).

Structure (POSCAR):
```
PrPAuO
1.0
-5.214 2.966 -0.064
-1.999 -3.608 -4.355
-1.695 -2.910 3.188
O Au Pr P
2 2 2 2
direct
0.000 0.000 0.000
0.500 0.500 0.000
0.500 0.000 0.988
0.000 0.500 0.012
0.000 0.000 0.500
0.500 0.500 0.500
0.000 0.500 0.512
0.500 0.000 0.488
```

=====

What should be chosen as the least stable of them? Choose model b.

=====

Model a:
Entry from OQMD: a relaxed structure of KBPt (PBE).

Structure (POSCAR):
```
KBPt
1.0
-1.345 1.814 3.688
0.573 4.236 0.661
-3.402 2.671 -0.018
Pt B K
1 1 1
direct
0.750 0.750 0.750
0.000 0.000 0.000
0.250 0.250 0.250
```

=====

Model b:
Entry from OQMD: a relaxed structure of KBPt (PBE).

Structure (POSCAR):
```
KBPt
1.0
6.268 0.000 0.000
0.000 6.268 0.000
0.000 0.000 4.003
B K Pt
2 2 2
direct
0.000 0.500 0.177
0.500 0.000 0.823
0.000 0.000 0.000
0.500 0.500 0.000
0.500 0.000 0.322
0.000 0.500 0.678
```

=====

What should be chosen as the least stable of them? Choose model a.

=====

Model a:
Entry from OQMD: a relaxed structure of AgPbSO (PBE).

Structure (POSCAR):
```
AgPbSO
1.0
-3.510 0.000 0.000
0.000 0.000 -6.092
-1.755 -7.144 0.000
S Pb Ag O
2 2 2 2
direct
0.748 0.750 0.504
0.252 0.250 0.496
0.428 0.750 0.145
0.572 0.250 0.855
0.132 0.750 0.735
0.868 0.250 0.265
0.000 0.000 0.000
0.000 0.500 0.000
```

=====

Model b:
Entry from OQMD: a relaxed structure of AgPbSO (PBE).

Structure (POSCAR):
```
AgPbSO
1.0
6.428 0.000 0.000
0.000 3.848 0.000
0.000 0.000 13.589
S O Ag Pb
4 4 4 4
direct
0.725 0.250 0.544
0.775 0.750 0.044
0.225 0.250 0.956
0.275 0.750 0.456
0.757 0.250 0.310
0.257 0.250 0.190
0.243 0.750 0.690
0.743 0.750 0.810
0.835 0.250 0.910
0.165 0.750 0.090
0.665 0.750 0.410
0.335 0.250 0.590
0.895 0.750 0.663
0.105 0.250 0.337
0.605 0.250 0.163
0.395 0.750 0.837
```

=====

What should be chosen as the least stable of them? Choose model a.

=====

Model a:
Entry from OQMD: a relaxed structure of ErTe3PbAu (PBE).

Structure (POSCAR):
```
ErTe3PbAu
1.0
3.515 1.435 -6.743
-5.859 -3.383 3.756
-6.101 9.212 -1.220
Au Te Er Pb
2 6 2 2
direct
0.466 0.534 0.750
0.534 0.466 0.250
0.646 0.354 0.050
0.354 0.646 0.950
0.354 0.646 0.550
0.091 0.909 0.750
0.909 0.091 0.250
0.646 0.354 0.450
0.000 0.000 0.000
0.000 0.000 0.500
0.775 0.225 0.750
0.225 0.775 0.250
```

=====

Model b:
Entry from OQMD: a relaxed structure of ErTe3PbAu (PBE).

Structure (POSCAR):
```
ErTe3PbAu
1.0
4.444 0.000 0.000
0.000 12.076 0.000
0.000 0.000 13.255
Pb Te Er Au
4 12 4 4
direct
0.250 0.450 0.278
0.750 0.950 0.222
0.750 0.550 0.722
0.250 0.050 0.778
0.250 0.865 0.033
0.750 0.449 0.101
0.750 0.365 0.467
0.250 0.949 0.399
0.750 0.051 0.601
0.750 0.822 0.807
0.250 0.635 0.533
0.750 0.135 0.967
0.250 0.178 0.193
0.250 0.551 0.899
0.750 0.678 0.307
0.250 0.322 0.693
0.250 0.311 0.983
0.250 0.189 0.483
0.750 0.689 0.017
0.750 0.811 0.517
0.250 0.727 0.194
0.750 0.273 0.806
0.750 0.227 0.306
0.250 0.773 0.694
```

=====

What should be chosen as the least stable of them? Choose model b.

=====

Model a:
Entry from OQMD: a relaxed structure of ZnFeAsW (PBE).

Structure (POSCAR):
```
ZnFeAsW
1.0
0.000 3.037 3.037
3.037 0.000 3.037
3.037 3.037 0.000
Fe W Zn As
1 1 1 1
direct
0.750 0.750 0.750
0.250 0.250 0.250
0.500 0.500 0.500
0.000 0.000 0.000
```

=====

Model b:
Entry from OQMD: a relaxed structure of ZnFeAsW (PBE).

Structure (POSCAR):
```
ZnFeAsW
1.0
0.000 3.065 3.065
3.065 0.000 3.065
3.065 3.065 0.000
W As Fe Zn
1 1 1 1
direct
0.500 0.500 0.500
0.000 0.000 0.000
0.750 0.750 0.750
0.250 0.250 0.250
```

=====

What should be chosen as the least stable of them? Choose model b.

=====

Model a:
Entry from OQMD: a relaxed structure of Pd (PBE).

Structure (POSCAR):
```
Pd
1.0
-0.710 1.790 1.979
-1.664 -2.872 2.001
29.190 -5.905 15.806
Pd
16
direct
0.000 0.000 0.354
0.000 0.000 0.521
0.500 0.500 0.396
0.000 0.000 0.438
0.500 0.500 0.811
0.500 0.500 0.646
0.000 0.000 0.604
0.000 0.000 0.189
0.000 0.000 0.271
0.500 0.500 0.312
0.500 0.500 0.729
0.000 0.000 0.772
0.500 0.500 0.479
0.000 0.000 0.688
0.500 0.500 0.562
0.500 0.500 0.228
```

=====

Model b:
Entry from OQMD: a relaxed structure of Pd (PBE).

Structure (POSCAR):
```
Pd
1.0
-6.083 4.118 0.706
-3.390 -5.593 3.418
0.981 1.002 2.612
Pd
10
direct
0.368 0.132 0.000
0.132 0.632 0.000
0.167 0.333 0.500
0.500 0.500 0.000
0.833 0.667 0.500
0.632 0.868 0.000
0.333 0.833 0.500
0.667 0.167 0.500
0.000 0.000 0.000
0.868 0.368 0.000
```

=====

What should be chosen as the least stable of them? Choose model b.

=====

Model a:
Entry from OQMD: a relaxed structure of ScAuSO (PBE).

Structure (POSCAR):
```
ScAuSO
1.0
5.295 0.000 0.000
0.000 6.162 0.000
0.000 0.000 8.726
Au Sc O S
4 4 4 4
direct
0.064 0.889 0.863
0.064 0.389 0.137
0.564 0.111 0.137
0.564 0.611 0.863
0.059 0.448 0.707
0.559 0.552 0.293
0.559 0.052 0.707
0.059 0.948 0.293
0.071 0.364 0.904
0.071 0.864 0.096
0.571 0.136 0.904
0.571 0.636 0.096
0.056 0.532 0.381
0.056 0.032 0.619
0.556 0.968 0.381
0.556 0.468 0.619
```

=====

Model b:
Entry from OQMD: a relaxed structure of ScAuSO (PBE).

Structure (POSCAR):
```
ScAuSO
1.0
5.320 0.000 0.000
0.000 5.320 0.000
0.000 0.000 9.049
Au S Sc O
4 4 4 4
direct
0.750 0.250 0.500
0.250 0.250 0.500
0.750 0.750 0.500
0.250 0.750 0.500
0.000 0.000 0.726
0.500 0.500 0.726
0.500 0.000 0.274
0.000 0.500 0.274
0.500 0.000 0.891
0.000 0.500 0.891
0.500 0.500 0.110
0.000 0.000 0.109
0.750 0.250 0.000
0.250 0.250 0.000
0.750 0.750 0.000
0.250 0.750 0.000
```

=====

What should be chosen as the least stable of them? Choose model a.